(a)
This record from Alexandria via LeMat-Bulk describes crystalline Li3B8C8 at its relaxed geometry. The functional is PBE.

## Properties
- V: 189.0 Å³/cell
- ρ: 1.79 g cm⁻³

Unit cell a=8.0618 b=8.0618 c=9.3982 alpha=109.01 beta=109.01 gamma=19.14
With the nearest neighbours (Å) after each atom.
Element x y z (fractional)
C1 0.8808 0.8808 0.2811  3 B 1.55-1.56
C2 0.6107 0.6107 0.9650  3 B 1.55-1.57
C3 0.8672 0.8672 0.7734  3 B 1.55-1.57
C4 0.6367 0.6367 0.4801  3 B 1.55-1.57
C5 0.3893 0.3893 0.0350  3 B 1.55-1.57
C6 0.1192 0.1192 0.7189  3 B 1.55-1.56
C7 0.3633 0.3633 0.5199  3 B 1.55-1.57
C8 0.1328 0.1328 0.2265  3 B 1.55-1.57
B1 0.6261 0.6261 0.1367  3 C 1.55-1.57
B2 0.8881 0.8881 0.1207  3 C 1.55-1.57
B3 0.6234 0.6234 0.6365  3 C 1.55-1.56
B4 0.8657 0.8657 0.6076  3 C 1.55-1.57
B5 0.1119 0.1119 0.8793  3 C 1.55-1.57
B6 0.3739 0.3739 0.8633  3 C 1.55-1.57
B7 0.1343 0.1343 0.3924  3 C 1.55-1.57
B8 0.3766 0.3766 0.3635  3 C 1.55-1.56
Li1 0.2481 0.2481 0.6441  6 C 2.31-2.48, 6 B 2.35-2.46
Li2 0.0000 0.0000 0.0000  6 C 2.32-2.45, 6 B 2.40-2.41
Li3 0.7519 0.7519 0.3559  6 C 2.31-2.48, 6 B 2.35-2.46


(b)
This record from Alexandria via LeMat-Bulk describes crystalline Li3B8C8 at its relaxed geometry. The functional is PBE.

## Properties
- V: 158.4 Å³/cell
- ρ: 2.13 g cm⁻³

Unit cell a=2.7331 b=2.7331 c=24.4884 alpha=90.00 beta=90.00 gamma=120.00
With the nearest neighbours (Å) after each atom.
Element x y z (fractional)
C1 0.3333 0.6667 0.1011  3 B 1.58
C2 0.6667 0.3333 0.1843  3 B 1.58
C3 0.3333 0.6667 0.3157  3 B 1.58
C4 0.6667 0.3333 0.3989  3 B 1.58
C5 0.3333 0.6667 0.5333  3 B 1.58
C6 0.6667 0.3333 0.6779  3 B 1.58
C7 0.3333 0.6667 0.8221  3 B 1.58
C8 0.6667 0.3333 0.9667  3 B 1.58
B1 0.3333 0.6667 0.1825  3 C 1.58
B2 0.6667 0.3333 0.1026  3 C 1.58
B3 0.3333 0.6667 0.3974  3 C 1.58
B4 0.6667 0.3333 0.3175  3 C 1.58
B5 0.3333 0.6667 0.6775  3 C 1.58
B6 0.6667 0.3333 0.5307  3 C 1.58
B7 0.3333 0.6667 0.9693  3 C 1.58
B8 0.6667 0.3333 0.8225  3 C 1.58
Li1 0.0000 0.0000 0.6029  6 C 2.32-2.42, 6 B 2.37-2.41
Li2 0.0000 0.0000 0.7500  6 C 2.37, 6 B 2.37
Li3 0.0000 0.0000 0.8971  6 C 2.32-2.42, 6 B 2.37-2.41


Most stable structure, least stable structure: (b), (a).